(1)
Entry from Alexandria: an optimized crystal structure of Li7HoBi4 (GGA-PBE).

abc: 12.6656 5.1700 10.4189
angles: 90.00 125.23 90.00
With the nearest neighbours (Å) after each atom.
Space group C2/m (No. 12)
Unique sites:
Li: 0.0000 0.0000 0.0000 x2  2 Ho 2.58, 2 Bi 2.63
Li: 0.0930 0.5000 0.4409 x4  4 Bi 2.96-3.01, 4 Li 3.08-3.23
Li: 0.1843 0.0000 0.9028 x4  4 Bi 2.73-2.93, 2 Li 2.95-3.03
Li: 0.2043 0.0000 0.6346 x4  3 Bi 2.92-3.02, 4 Li 2.95-3.09
Ho: 0.0000 0.5000 0.0000 x2  2 Li 2.58
Bi: 0.0875 0.0000 0.2979 x4  3 Li 2.63-2.92
Bi: 0.1979 0.5000 0.7799 x4  7 Li 2.73-3.02

Summary:
- Energy relative to the elements: -0.270 eV per atom
- ρ: 6.254 g cm⁻³
- Total DFT energy (no corrections): -3.061 eV/atom
- Total moment: 0.042 μB/atom
- Calculated volume: 23.22 Å³/atom

(2)
Entry from Alexandria: an optimized crystal structure of MnTcAs2Br (GGA-PBE).

abc: 4.7254 4.7254 5.4831
angles: 90.00 90.00 90.00
With the nearest neighbours (Å) after each atom.
Space group P4/mmm (No. 123)
Unique sites:
Mn: 0.0000 0.0000 0.0000 x1  4 Br 3.34, 8 As 3.62
Tc: 0.5000 0.5000 0.5000 x1  4 As 2.36
As: 0.0000 0.5000 0.5000 x2  2 Tc 2.36
Br: 0.5000 0.5000 0.0000 x1  2 Tc 2.74

Summary:
- E_form (uncorrected): 0.59 eV/atom
- ρ: 5.190 g cm⁻³
- Total DFT energy (no corrections): -5.510 eV/atom
- Total moment: 0.967 μB/atom
- Calculated volume: 24.49 Å³/atom